(1)
Entry from Alexandria via LeMat-Bulk: a relaxed BaSr4Ca2 crystal (PBE-GGA).

abc: 8.0184 8.0184 8.0184
angles: 102.95 102.95 123.49
With the nearest neighbours (Å) after each atom.
Atoms (fractional coordinates):
Sr 0.7988 0.7988 0.5977  4 Sr 4.02-4.04, 4 Ca 4.07, 1 Ba 4.22
Ca 0.2500 0.7500 0.5000  2 Ca 3.80, 8 Sr 4.07
Sr 0.2012 0.2012 0.4023  4 Sr 4.02-4.04, 4 Ca 4.07, 1 Ba 4.22
Ba 0.5000 0.5000 0.0000  4 Sr 4.22
Ca 0.7500 0.2500 0.5000  2 Ca 3.80, 8 Sr 4.07
Sr 0.7988 0.2012 0.0000  4 Sr 4.02-4.04, 4 Ca 4.07, 1 Ba 4.22
Sr 0.2012 0.7988 0.0000  4 Sr 4.02-4.04, 4 Ca 4.07, 1 Ba 4.22

DOS(E_F)	1.342	states/eV per atom
calculated density	2.5	g/cm3
raw total energy	-12.0	eV per formula unit
size of the total moment	0.00	μB/cell
formation energy	95	meV/atom

***

(2)
Entry from Alexandria via LeMat-Bulk: a relaxed Cu2AsBr4 crystal (PBE-GGA).

abc: 6.1075 6.1075 6.5382
angles: 117.84 117.84 90.00
With the nearest neighbours (Å) after each atom.
Atoms (fractional coordinates):
Br 0.0950 0.0950 0.7522  2 Cu 2.50, 1 As 2.72
Br 0.3428 0.9050 0.2478  2 Cu 2.50, 1 As 2.72
As 0.5000 0.5000 0.0000  4 Br 2.72
Br 0.6572 0.6572 0.7522  2 Cu 2.50, 1 As 2.72
Br 0.9050 0.3428 0.2478  2 Cu 2.50, 1 As 2.72
Cu 0.2500 0.7500 0.5000  4 Br 2.50
Cu 0.7500 0.2500 0.5000  4 Br 2.50

calculated density	4.7	g/cm3
formation energy without anion corrections	-0.4	eV/f.u.
raw total energy	-20.0	eV per formula unit
size of the total moment	0.99	μB/cell

***

(3)
Entry from Alexandria via LeMat-Bulk: a relaxed LaZn2Pt crystal (PBE-GGA).

abc: 4.7567 3.9566 4.7859
angles: 80.28 90.00 90.00
With the nearest neighbours (Å) after each atom.
Atoms (fractional coordinates):
La 0.5000 0.2500 0.2500  2 Pt 2.84
Zn 0.0000 0.6730 0.5158  2 Zn 2.42-2.51, 2 Pt 2.67
Zn 0.0000 0.8270 0.9842  2 Zn 2.42-2.51, 2 Pt 2.67
Pt 0.5000 0.7500 0.7500  4 Zn 2.67, 2 La 2.84

DOS(E_F)	0.543	states/eV per atom
calculated density	8.7	g/cm3
raw total energy	-15.8	eV per formula unit
size of the total moment	0.00	μB/cell
formation energy	-570	meV/atom

***

(4)
Entry from Alexandria via LeMat-Bulk: a relaxed BaScSeBr2 crystal (PBE-GGA).

abc: 6.0002 6.0002 6.3126
angles: 90.00 90.00 90.00
With the nearest neighbours (Å) after each atom.
Atoms (fractional coordinates):
Sc 0.5000 0.5000 0.5000  4 Se 4.24, 8 Br 4.35
Br 0.5000 0.0000 0.0000  2 Ba 3.00
Br 0.0000 0.5000 0.0000  2 Ba 3.00
Ba 0.0000 0.0000 0.0000  4 Br 3.00, 2 Se 3.16
Se 0.0000 0.0000 0.5000  2 Ba 3.16

DOS(E_F)	1.189	states/eV per atom
calculated density	3.1	g/cm3
formation energy without anion corrections	-3.0	eV/f.u.
raw total energy	-18.1	eV per formula unit
size of the total moment	1.01	μB/cell

***

(5)
Entry from Alexandria via LeMat-Bulk: a relaxed Li2CaLa2 crystal (PBE-GGA).

abc: 9.3096 9.3096 3.6774
angles: 90.00 90.00 90.00
With the nearest neighbours (Å) after each atom.
Atoms (fractional coordinates):
Li 0.3400 0.8400 0.0000  6 La 3.29-3.30, 2 Ca 3.50, 2 Li 3.68
Li 0.8400 0.6600 0.0000  6 La 3.29-3.30, 2 Ca 3.50, 2 Li 3.68
La 0.3671 0.1329 0.5000  6 Li 3.29-3.30, 3 La 3.50-3.68
La 0.8671 0.3671 0.5000  6 Li 3.29-3.30, 3 La 3.50-3.68
La 0.1329 0.6329 0.5000  6 Li 3.29-3.30, 3 La 3.50-3.68
La 0.6329 0.8671 0.5000  6 Li 3.29-3.30, 3 La 3.50-3.68
Li 0.1600 0.3400 0.0000  6 La 3.29-3.30, 2 Ca 3.50, 2 Li 3.68
Ca 0.5000 0.5000 0.0000  4 Li 3.50, 2 Ca 3.68
Ca 0.0000 0.0000 0.0000  4 Li 3.50, 2 Ca 3.68
Li 0.6600 0.1600 0.0000  6 La 3.29-3.30, 2 Ca 3.50, 2 Li 3.68

DOS(E_F)	1.040	states/eV per atom
calculated density	3.5	g/cm3
raw total energy	-14.9	eV per formula unit
size of the total moment	0.00	μB/cell
formation energy	160	meV/atom

***

(6)
Entry from Alexandria via LeMat-Bulk: a relaxed La2Tb3Sm5 crystal (PBE-GGA).

abc: 9.4927 9.4994 9.7996
angles: 108.74 108.71 109.73
With the nearest neighbours (Å) after each atom.
Atoms (fractional coordinates):
Sm 0.4790 0.2290 0.4580  5 Tb 3.33-3.55, 2 La 3.50, 2 Sm 3.68
Tb 0.2735 0.0235 0.0471  3 Sm 3.34-3.61, 4 La 3.37-3.50, 2 Tb 3.47
La 0.2814 0.7310 0.7483  3 Tb 3.15-3.50, 2 Sm 3.35-3.50
Sm 0.5210 0.7710 0.5420  5 Tb 3.33-3.55, 2 La 3.50, 2 Sm 3.68
Tb 0.7265 0.9765 0.9529  3 Sm 3.34-3.61, 4 La 3.37-3.50, 2 Tb 3.47
La 0.9669 0.0173 0.7483  3 Tb 3.15-3.50, 2 Sm 3.35-3.50
Sm 0.6289 0.8507 0.2360  3 Tb 3.47-3.61, 2 La 3.54-3.71, 3 Sm 3.63-3.75
Sm 0.8929 0.6147 0.7640  3 Tb 3.47-3.61, 2 La 3.54-3.71, 3 Sm 3.63-3.75
Tb 0.5095 0.4660 0.2430  1 La 3.15, 3 Sm 3.33-3.47, 1 Tb 3.47
Sm 0.3711 0.1493 0.7640  3 Tb 3.47-3.61, 2 La 3.54-3.71, 3 Sm 3.63-3.75
Sm 0.0233 0.2733 0.5467  1 Sm 3.19, 2 La 3.35
Tb 0.7665 0.2230 0.7570  1 La 3.15, 3 Sm 3.33-3.47, 1 Tb 3.47
Sm 0.7805 0.5305 0.0609  1 Sm 3.19, 4 Tb 3.36-3.57, 2 La 3.57
La 0.0331 0.9827 0.2517  3 Tb 3.15-3.50, 2 Sm 3.35-3.50
La 0.7186 0.2690 0.2517  3 Tb 3.15-3.50, 2 Sm 3.35-3.50
Tb 0.2335 0.7770 0.2430  1 La 3.15, 3 Sm 3.33-3.47, 1 Tb 3.47
Sm 0.2195 0.4695 0.9391  1 Sm 3.19, 4 Tb 3.36-3.57, 2 La 3.57
Tb 0.4905 0.5340 0.7570  1 La 3.15, 3 Sm 3.33-3.47, 1 Tb 3.47
Sm 0.1071 0.3853 0.2360  3 Tb 3.47-3.61, 2 La 3.54-3.71, 3 Sm 3.63-3.75
Sm 0.9767 0.7267 0.4533  1 Sm 3.19, 2 La 3.35

DOS(E_F)	1.740	states/eV per atom
calculated density	7.2	g/cm3
raw total energy	-45.5	eV per formula unit
size of the total moment	0.00	μB/cell
formation energy	184	meV/atom

***

(7)
Entry from Alexandria via LeMat-Bulk: a relaxed YTm12Sc7 crystal (PBE-GGA).

abc: 9.5726 9.5726 9.5726
angles: 112.69 112.69 112.69
With the nearest neighbours (Å) after each atom.
Atoms (fractional coordinates):
Y 0.0000 0.0000 0.0000  8 Sc 3.68-3.96, 6 Tm 3.97
Sc 0.5000 0.5000 0.5000  6 Tm 3.38, 6 Sc 3.56
Tm 0.2821 0.0000 0.7179  2 Tm 3.00, 4 Sc 3.19-3.25
Sc 0.1548 0.1548 0.4838  7 Tm 3.08-3.30
Tm 0.5699 0.9029 0.5699  4 Sc 3.08-3.38, 1 Tm 3.08
Tm 0.7179 0.0000 0.2821  2 Tm 3.00, 4 Sc 3.19-3.25
Tm 0.4301 0.4301 0.0971  4 Sc 3.08-3.38, 1 Tm 3.08
Sc 0.4838 0.1548 0.1548  7 Tm 3.08-3.30
Tm 0.0000 0.2821 0.7179  2 Tm 3.00, 4 Sc 3.19-3.25
Sc 0.1548 0.4838 0.1548  7 Tm 3.08-3.30
Tm 0.0000 0.7179 0.2821  2 Tm 3.00, 4 Sc 3.19-3.25
Sc 0.8452 0.8452 0.5162  7 Tm 3.08-3.30
Tm 0.9029 0.5699 0.5699  4 Sc 3.08-3.38, 1 Tm 3.08
Tm 0.7179 0.2821 0.0000  2 Tm 3.00, 4 Sc 3.19-3.25
Tm 0.4301 0.0971 0.4301  4 Sc 3.08-3.38, 1 Tm 3.08
Sc 0.8452 0.5162 0.8452  7 Tm 3.08-3.30
Tm 0.5699 0.5699 0.9029  4 Sc 3.08-3.38, 1 Tm 3.08
Tm 0.0971 0.4301 0.4301  4 Sc 3.08-3.38, 1 Tm 3.08
Sc 0.5162 0.8452 0.8452  7 Tm 3.08-3.30
Tm 0.2821 0.7179 0.0000  2 Tm 3.00, 4 Sc 3.19-3.25

DOS(E_F)	1.721	states/eV per atom
calculated density	6.9	g/cm3
raw total energy	-99.0	eV per formula unit
size of the total moment	0.00	μB/cell
formation energy	272	meV/atom

***

(8)
Entry from Alexandria via LeMat-Bulk: a relaxed Pm5In2Pb2 crystal (PBE-GGA).

abc: 8.3293 8.4335 9.1436
angles: 117.46 90.00 90.00
With the nearest neighbours (Å) after each atom.
Atoms (fractional coordinates):
Pb 0.5000 0.2923 0.5847  7 Pm 3.24-3.37
Pb 0.5000 0.7077 0.4153  7 Pm 3.24-3.37
Pm 0.5000 0.5000 0.0000  4 In 3.30-3.34, 2 Pb 3.37
In 0.1235 0.6232 0.0000  1 In 2.92
Pb 0.0000 0.2077 0.4153  7 Pm 3.24-3.37
Pm 0.6724 0.3168 0.2782  3 Pb 3.24-3.31, 3 In 3.29-3.42
Pm 0.3276 0.9613 0.2782  3 Pb 3.24-3.31, 3 In 3.29-3.42
Pm 0.3276 0.6832 0.7218  3 Pb 3.24-3.31, 3 In 3.29-3.42
Pm 0.0000 0.0000 0.0000  4 In 3.30-3.34, 2 Pb 3.37
Pm 0.1724 0.4613 0.2782  3 Pb 3.24-3.31, 3 In 3.29-3.42
Pm 0.1724 0.1832 0.7218  3 Pb 3.24-3.31, 3 In 3.29-3.42
In 0.3765 0.1232 0.0000  1 In 2.92
In 0.6235 0.8768 0.0000  1 In 2.92
Pm 0.8276 0.5387 0.7218  3 Pb 3.24-3.31, 3 In 3.29-3.42
Pm 0.8276 0.8168 0.2782  3 Pb 3.24-3.31, 3 In 3.29-3.42
Pb 0.0000 0.7923 0.5847  7 Pm 3.24-3.37
In 0.8765 0.3768 0.0000  1 In 2.92
Pm 0.6724 0.0387 0.7218  3 Pb 3.24-3.31, 3 In 3.29-3.42

DOS(E_F)	0.818	states/eV per atom
calculated density	8.0	g/cm3
raw total energy	-41.1	eV per formula unit
size of the total moment	0.00	μB/cell
formation energy	-494	meV/atom

***

(9)
Entry from Alexandria via LeMat-Bulk: a relaxed K2LiMo crystal (PBE-GGA).

abc: 12.9772 12.9772 12.9772
angles: 13.74 13.74 13.74
With the nearest neighbours (Å) after each atom.
Atoms (fractional coordinates):
Mo 0.7500 0.7500 0.7500  6 Mo 3.11
K 0.0059 0.0059 0.0059  6 K 3.11
K 0.4941 0.4941 0.4941  6 K 3.11
Li 0.2500 0.2500 0.2500  6 Li 3.11

DOS(E_F)	1.079	states/eV per atom
calculated density	2.8	g/cm3
raw total energy	-10.4	eV per formula unit
size of the total moment	0.69	μB/cell
formation energy	1130	meV/atom

***

(10)
Entry from Alexandria via LeMat-Bulk: a relaxed SrBe2Cu crystal (PBE-GGA).

abc: 4.8474 4.8474 4.8474
angles: 131.04 110.45 89.66
With the nearest neighbours (Å) after each atom.
Atoms (fractional coordinates):
Cu 0.7500 0.2500 0.5000  4 Be 2.27
Be 0.9048 0.9048 0.0000  1 Be 2.13, 2 Cu 2.27
Be 0.5952 0.5952 0.0000  1 Be 2.13, 2 Cu 2.27
Sr 0.2500 0.7500 0.5000  8 Be 2.96-3.11

DOS(E_F)	0.505	states/eV per atom
calculated density	3.7	g/cm3
raw total energy	-11.4	eV per formula unit
size of the total moment	0.00	μB/cell
formation energy	469	meV/atom

***

(11)
Entry from Alexandria via LeMat-Bulk: a relaxed CePm3Er12 crystal (PBE-GGA).

abc: 4.9989 4.9989 19.9783
angles: 90.00 90.00 90.00
With the nearest neighbours (Å) after each atom.
Atoms (fractional coordinates):
Er 0.0000 0.5000 0.1227  8 Er 3.50-3.56, 2 Ce 3.50, 2 Pm 3.54
Er 0.5000 0.5000 0.7504  8 Er 3.53-3.56, 4 Pm 3.53
Pm 0.0000 0.0000 0.5000  12 Er 3.53-3.54
Ce 0.0000 0.0000 0.0000  12 Er 3.50-3.53
Er 0.0000 0.5000 0.8773  8 Er 3.50-3.56, 2 Ce 3.50, 2 Pm 3.54
Pm 0.0000 0.0000 0.7522  12 Er 3.53-3.55
Er 0.0000 0.5000 0.6258  8 Er 3.53-3.54, 4 Pm 3.54-3.55
Er 0.5000 0.5000 0.2496  8 Er 3.53-3.56, 4 Pm 3.53
Pm 0.0000 0.0000 0.2478  12 Er 3.53-3.55
Er 0.5000 0.0000 0.8773  2 Ce 3.50, 8 Er 3.50-3.56, 2 Pm 3.54
Er 0.5000 0.0000 0.6258  8 Er 3.53-3.54, 4 Pm 3.54-3.55
Er 0.0000 0.5000 0.3742  8 Er 3.53-3.54, 4 Pm 3.54-3.55
Er 0.5000 0.5000 0.5000  4 Pm 3.53, 8 Er 3.54
Er 0.5000 0.0000 0.1227  2 Ce 3.50, 8 Er 3.50-3.56, 2 Pm 3.54
Er 0.5000 0.0000 0.3742  8 Er 3.53-3.54, 4 Pm 3.54-3.55
Er 0.5000 0.5000 0.0000  8 Er 3.50, 4 Ce 3.53

DOS(E_F)	1.441	states/eV per atom
calculated density	8.6	g/cm3
raw total energy	-74.4	eV per formula unit
size of the total moment	0.88	μB/cell
formation energy	33	meV/atom

***

(12)
Entry from Alexandria via LeMat-Bulk: a relaxed RbPaCuSe3 crystal (PBE-GGA).

abc: 4.1280 9.4599 9.8078
angles: 110.94 90.00 90.00
With the nearest neighbours (Å) after each atom.
Atoms (fractional coordinates):
Cu 0.7500 0.9163 0.4037  4 Se 2.47-2.53
Se 0.2500 0.1179 0.8584  1 Cu 2.47
Pa 0.2500 0.6815 0.1609  6 Se 2.79-2.91
Se 0.7500 0.4646 0.1556  3 Pa 2.90-2.91
Cu 0.2500 0.0837 0.5963  4 Se 2.47-2.53
Se 0.7500 0.2001 0.5342  3 Cu 2.51-2.53, 1 Pa 2.79
Se 0.7500 0.8821 0.1416  1 Cu 2.47
Se 0.2500 0.5354 0.8444  3 Pa 2.90-2.91
Se 0.2500 0.7999 0.4658  3 Cu 2.51-2.53, 1 Pa 2.79
Pa 0.7500 0.3185 0.8391  6 Se 2.79-2.91
Rb 0.7500 0.7911 0.7508  7 Se 3.50-3.62
Rb 0.2500 0.2089 0.2492  7 Se 3.50-3.62

DOS(E_F)	0.829	states/eV per atom
calculated density	5.7	g/cm3
formation energy without anion corrections	-6.8	eV/f.u.
raw total energy	-31.8	eV per formula unit
size of the total moment	2.01	μB/cell